# BaMnCd3 | Alexandria | PBE | optimized geometry
data_BaMnCd3
_chemical_formula_sum 'Ba1 Mn1 Cd3'
_cell_length_a 5.2849
_cell_length_b 5.2849
_cell_length_c 5.2849
_cell_angle_alpha 90.00
_cell_angle_beta 90.00
_cell_angle_gamma 90.00
_space_group_name_H-M_alt 'P 1'
_space_group_IT_number 1
_space_group_name_Hall 'P 1'
loop_
_atom_site_label
_atom_site_fract_x
_atom_site_fract_y
_atom_site_fract_z
Mn1 0.0000 0.0000 0.0000
Ba1 0.5000 0.5000 0.5000
Cd1 0.0000 0.5000 0.0000
Cd2 0.0000 0.0000 0.5000
Cd3 0.5000 0.0000 0.0000
# E above lowest polymorph = 0.000 eV per atom
# M_tot = 3.0 μB per cell
# formation enthalpy at 0 K = 0.0770 eV per atom
# E = -13.45 eV/f.u.



# Sm2TiBr | Alexandria | PBE | optimized geometry
data_Sm2TiBr
_chemical_formula_sum 'Sm2 Ti1 Br1'
_cell_length_a 3.4102
_cell_length_b 3.4102
_cell_length_c 11.0283
_cell_angle_alpha 81.11
_cell_angle_beta 81.11
_cell_angle_gamma 60.00
_space_group_name_H-M_alt 'P 1'
_space_group_IT_number 1
_space_group_name_Hall 'P 1'
loop_
_atom_site_label
_atom_site_fract_x
_atom_site_fract_y
_atom_site_fract_z
Br1 0.5000 0.5000 0.5000
Sm1 0.0917 0.0917 0.7248
Sm2 0.9083 0.9083 0.2752
Ti1 0.0000 0.0000 0.0000
# M_tot = 2.0 μB per cell
# energy relative to the elements, uncorrected = -0.05 eV/atom
# E = -19.22 eV/f.u.



# BaHg2IrPb | Alexandria | PBE | optimized geometry
data_BaHg2IrPb
_chemical_formula_sum 'Ba1 Hg2 Ir1 Pb1'
_cell_length_a 5.3646
_cell_length_b 5.3646
_cell_length_c 5.2424
_cell_angle_alpha 90.00
_cell_angle_beta 90.00
_cell_angle_gamma 90.00
_space_group_name_H-M_alt 'P 1'
_space_group_IT_number 1
_space_group_name_Hall 'P 1'
loop_
_atom_site_label
_atom_site_fract_x
_atom_site_fract_y
_atom_site_fract_z
Pb1 0.0000 0.0000 0.5000
Ir1 0.0000 0.0000 0.0000
Hg1 0.0000 0.5000 0.0000
Hg2 0.5000 0.0000 0.0000
Ba1 0.5000 0.5000 0.5000
# M_tot = 0.0 μB per cell
# formation enthalpy at 0 K = -0.1506 eV per atom
# E = -15.85 eV/f.u.



# NdScNiHg | Alexandria | PBE | optimized geometry
data_NdScNiHg
_chemical_formula_sum 'Nd1 Sc1 Ni1 Hg1'
_cell_length_a 5.0129
_cell_length_b 5.0129
_cell_length_c 5.0129
_cell_angle_alpha 60.00
_cell_angle_beta 60.00
_cell_angle_gamma 60.00
_space_group_name_H-M_alt 'P 1'
_space_group_IT_number 1
_space_group_name_Hall 'P 1'
loop_
_atom_site_label
_atom_site_fract_x
_atom_site_fract_y
_atom_site_fract_z
Sc1 0.5000 0.5000 0.5000
Ni1 0.2500 0.2500 0.2500
Nd1 0.0000 0.0000 0.0000
Hg1 0.7500 0.7500 0.7500
# M_tot = 0.0 μB per cell
# formation enthalpy at 0 K = -0.2664 eV per atom
# E = -18.25 eV/f.u.



# Pm5Y4Cd2 | Alexandria | PBE | optimized geometry
data_Pm5Y4Cd2
_chemical_formula_sum 'Pm5 Y4 Cd2'
_cell_length_a 3.5870
_cell_length_b 8.8755
_cell_length_c 10.9857
_cell_angle_alpha 93.90
_cell_angle_beta 90.00
_cell_angle_gamma 90.00
_space_group_name_H-M_alt 'P 1'
_space_group_IT_number 1
_space_group_name_Hall 'P 1'
loop_
_atom_site_label
_atom_site_fract_x
_atom_site_fract_y
_atom_site_fract_z
Pm1 0.0000 0.5469 0.3260
Pm2 0.0000 0.1983 0.1589
Pm3 0.0000 0.5000 0.0000
Pm4 0.0000 0.8017 0.8411
Pm5 0.0000 0.4531 0.6740
Y1 0.5000 0.7712 0.5565
Y2 0.5000 0.1578 0.8747
Y3 0.5000 0.2288 0.4435
Y4 0.5000 0.8422 0.1253
Cd1 0.0000 0.0692 0.6395
Cd2 0.0000 0.9308 0.3605
# M_tot = 0.0 μB per cell
# formation enthalpy at 0 K = -0.0086 eV per atom
# E = -51.53 eV/f.u.



# ScFeSi2 | Alexandria | PBE | optimized geometry
data_ScFeSi2
_chemical_formula_sum 'Sc2 Fe2 Si4'
_cell_length_a 4.3556
_cell_length_b 4.3556
_cell_length_c 8.2584
_cell_angle_alpha 74.71
_cell_angle_beta 74.71
_cell_angle_gamma 90.00
_space_group_name_H-M_alt 'P 1'
_space_group_IT_number 1
_space_group_name_Hall 'P 1'
loop_
_atom_site_label
_atom_site_fract_x
_atom_site_fract_y
_atom_site_fract_z
Sc1 0.5000 0.5000 0.0000
Sc2 0.2500 0.7500 0.5000
Si1 0.7734 0.1250 0.2500
Si2 0.9766 0.6250 0.2500
Si3 0.3750 0.2266 0.7500
Si4 0.8750 0.0234 0.7500
Fe1 0.0000 0.0000 0.0000
Fe2 0.7500 0.2500 0.5000
# M_tot = 2.6 μB per cell
# energy relative to the elements, uncorrected = -0.06 eV/atom
# E = -25.87 eV/f.u.



# Ba2LiPO | Alexandria | PBE | optimized geometry
data_Ba2LiPO
_chemical_formula_sum 'Ba2 Li1 P1 O1'
_cell_length_a 5.4109
_cell_length_b 5.4109
_cell_length_c 4.2213
_cell_angle_alpha 90.00
_cell_angle_beta 90.00
_cell_angle_gamma 90.00
_space_group_name_H-M_alt 'P 1'
_space_group_IT_number 1
_space_group_name_Hall 'P 1'
loop_
_atom_site_label
_atom_site_fract_x
_atom_site_fract_y
_atom_site_fract_z
P1 0.5000 0.5000 0.5000
Ba1 0.0000 0.5000 0.0000
Ba2 0.5000 0.0000 0.0000
O1 0.0000 0.0000 0.0000
Li1 0.0000 0.0000 0.5000
# E above lowest polymorph = 0.092 eV per atom
# M_tot = 0.0 μB per cell
# energy relative to the elements, uncorrected = -1.44 eV/atom
# E = -23.34 eV/f.u.



# Na2InGa | Alexandria | PBE | optimized geometry
data_Na2InGa
_chemical_formula_sum 'Na2 In1 Ga1'
_cell_length_a 5.2208
_cell_length_b 5.2208
_cell_length_c 5.2208
_cell_angle_alpha 60.00
_cell_angle_beta 60.00
_cell_angle_gamma 60.00
_space_group_name_H-M_alt 'P 1'
_space_group_IT_number 1
_space_group_name_Hall 'P 1'
loop_
_atom_site_label
_atom_site_fract_x
_atom_site_fract_y
_atom_site_fract_z
Na1 0.2500 0.2500 0.2500
Na2 0.7500 0.7500 0.7500
Ga1 0.0000 0.0000 0.0000
In1 0.5000 0.5000 0.5000
# E above lowest polymorph = 0.107 eV per atom
# M_tot = 0.0 μB per cell
# formation enthalpy at 0 K = 0.0111 eV per atom
# E = -8.36 eV/f.u.



# CsAl3Sb | Alexandria | PBE | optimized geometry
data_CsAl3Sb
_chemical_formula_sum 'Cs1 Al3 Sb1'
_cell_length_a 5.6934
_cell_length_b 5.6934
_cell_length_c 5.6934
_cell_angle_alpha 90.00
_cell_angle_beta 90.00
_cell_angle_gamma 90.00
_space_group_name_H-M_alt 'P 1'
_space_group_IT_number 1
_space_group_name_Hall 'P 1'
loop_
_atom_site_label
_atom_site_fract_x
_atom_site_fract_y
_atom_site_fract_z
Cs1 0.5000 0.5000 0.5000
Sb1 0.0000 0.0000 0.0000
Al1 0.0000 0.5000 0.0000
Al2 0.0000 0.0000 0.5000
Al3 0.5000 0.0000 0.0000
# E above lowest polymorph = 0.000 eV per atom
# M_tot = 0.0 μB per cell
# energy relative to the elements, uncorrected = 0.64 eV/atom
# E = -13.00 eV/f.u.



# Pm5Se4Br | Alexandria | PBE | optimized geometry
data_Pm5Se4Br
_chemical_formula_sum 'Pm5 Se4 Br1'
_cell_length_a 4.1438
_cell_length_b 4.1438
_cell_length_c 18.0368
_cell_angle_alpha 83.40
_cell_angle_beta 83.40
_cell_angle_gamma 60.00
_space_group_name_H-M_alt 'P 1'
_space_group_IT_number 1
_space_group_name_Hall 'P 1'
loop_
_atom_site_label
_atom_site_fract_x
_atom_site_fract_y
_atom_site_fract_z
Pm1 0.3993 0.3993 0.8022
Pm2 0.0000 0.0000 0.0000
Pm3 0.6007 0.6007 0.1978
Pm4 0.7943 0.7943 0.6170
Pm5 0.2057 0.2057 0.3830
Se1 0.9025 0.9025 0.2925
Se2 0.3006 0.3006 0.0982
Se3 0.6994 0.6994 0.9018
Se4 0.0975 0.0975 0.7075
Br1 0.5000 0.5000 0.5000
# M_tot = 0.0 μB per cell
# energy relative to the elements, uncorrected = -1.67 eV/atom
# E = -56.02 eV/f.u.



# Zr4AuN | Alexandria | PBE | optimized geometry
data_Zr4AuN
_chemical_formula_sum 'Zr8 Au2 N2'
_cell_length_a 6.3868
_cell_length_b 5.4152
_cell_length_c 8.3977
_cell_angle_alpha 108.81
_cell_angle_beta 122.03
_cell_angle_gamma 90.00
_space_group_name_H-M_alt 'P 1'
_space_group_IT_number 1
_space_group_name_Hall 'P 1'
loop_
_atom_site_label
_atom_site_fract_x
_atom_site_fract_y
_atom_site_fract_z
Zr1 0.7691 0.5569 0.2054
Zr2 0.7093 0.1358 0.3850
Zr3 0.2691 0.6485 0.2054
Zr4 0.2093 0.2492 0.3850
Zr5 0.2907 0.8642 0.6150
Zr6 0.2309 0.4431 0.7946
Zr7 0.7907 0.7508 0.6150
Zr8 0.7309 0.3515 0.7946
Au1 0.7500 0.9232 0.0000
Au2 0.2500 0.0768 0.0000
N1 0.5000 0.0000 0.5000
N2 0.0000 0.5000 0.5000
# M_tot = 0.0 μB per cell
# energy relative to the elements, uncorrected = -0.73 eV/atom
# E = -50.18 eV/f.u.



# NpPa2S6 | Alexandria | PBE | optimized geometry
data_NpPa2S6
_chemical_formula_sum 'Np2 Pa4 S12'
_cell_length_a 6.7188
_cell_length_b 6.7467
_cell_length_c 9.8936
_cell_angle_alpha 90.00
_cell_angle_beta 101.07
_cell_angle_gamma 90.00
_space_group_name_H-M_alt 'P 1'
_space_group_IT_number 1
_space_group_name_Hall 'P 1'
loop_
_atom_site_label
_atom_site_fract_x
_atom_site_fract_y
_atom_site_fract_z
Np1 0.5000 0.5000 0.0000
Np2 0.0000 0.0000 0.5000
Pa1 0.9501 0.3951 0.7833
Pa2 0.5499 0.8951 0.7167
Pa3 0.4501 0.1049 0.2833
Pa4 0.0499 0.6049 0.2167
S1 0.7941 0.8965 0.2549
S2 0.8097 0.6843 0.5990
S3 0.8195 0.6896 0.9382
S4 0.6805 0.1896 0.5618
S5 0.6903 0.1843 0.9010
S6 0.7059 0.3965 0.2451
S7 0.2059 0.1035 0.7451
S8 0.1903 0.3157 0.4010
S9 0.1805 0.3104 0.0618
S10 0.3195 0.8104 0.4382
S11 0.3097 0.8157 0.0990
S12 0.2941 0.6035 0.7549
# M_tot = 10.0 μB per cell
# energy relative to the elements, uncorrected = -1.45 eV/atom
# E = -69.75 eV/f.u.



Number 1: volume 29.522 Å³ per atom. Number 2: volume 27.322 Å³ per atom. Number 3: volume 30.174 Å³ per atom. Number 4: volume 22.268 Å³ per atom. Number 5: volume 31.721 Å³ per atom. Number 6: volume 18.171 Å³ per atom. Number 7: volume 24.718 Å³ per atom. Number 8: volume 25.155 Å³ per atom. Number 9: volume 36.911 Å³ per atom. Number 10: volume 26.585 Å³ per atom. Number 11: volume 18.978 Å³ per atom. Number 12: volume 24.452 Å³ per atom.